A relaxed structure of CaPuB2O8, computed with PBE.

a = 5.5362 Å, b = 5.5362 Å, c = 5.5362 Å
α = 105.83°, β = 105.83°, γ = 117.04°
Closest atoms and distances in Å follow each position.
Positions (direct):
Ca1 0.0000 0.0000 0.0000  8 O 2.28-2.36
Pu1 0.2500 0.7500 0.5000  8 O 2.20-2.25
B1 0.7500 0.2500 0.5000  4 O 1.46
B2 0.5000 0.5000 0.0000  4 O 1.49
O1 0.4208 0.0876 0.3332  1 B 1.46
O2 0.3504 0.5324 0.1820  1 B 1.49
O3 0.3504 0.1683 0.8180  1 B 1.49
O4 0.7543 0.0876 0.6668  1 B 1.46
O5 0.8317 0.6496 0.1820  1 B 1.49
O6 0.9124 0.2457 0.3332  1 B 1.46
O7 0.9124 0.5792 0.6668  1 B 1.46
O8 0.4676 0.6496 0.8180  1 B 1.49

**ΔE_f (raw)**: -2125 meV per atom
**E_tot**: -7.904 eV per atom
**Total moment**: 0.001 μB/atom
**Calculated volume**: 10.7 Å³ per atom